Record 1
{"formula": "CeSnO", "functional": "PBE", "state": "optimized geometry", "energy_ev_per_atom": -7.078, "vol_a3_per_atom": 21.87, "magnetic_moment_mub_per_fu": 0.83, "cell": [[4.049, 0.000, 0.000], [0.000, 4.049, 0.000], [0.000, 0.000, 8.006]], "species": ["Ce", "Ce", "Sn", "Sn", "O", "O"], "frac_coords": [[0.250, 0.250, 0.147], [0.750, 0.750, 0.853], [0.250, 0.250, 0.575], [0.750, 0.750, 0.425], [0.250, 0.750, 0.000], [0.750, 0.250, 0.000]]}

=====

Record 2
{"formula": "CeSn2O6", "functional": "PBE", "state": "optimized geometry", "energy_ev_per_atom": -7.025, "vol_a3_per_atom": 13.85, "magnetic_moment_mub_per_fu": 0.00, "cell": [[5.411, 0.000, 0.000], [-2.706, 4.686, 0.000], [0.000, 0.000, 4.914]], "species": ["Ce", "Sn", "Sn", "O", "O", "O", "O", "O", "O"], "frac_coords": [[0.000, 0.000, 0.000], [0.333, 0.667, 0.500], [0.667, 0.333, 0.500], [0.000, 0.348, 0.731], [0.000, 0.652, 0.269], [0.348, 0.000, 0.731], [0.348, 0.348, 0.269], [0.652, 0.000, 0.269], [0.652, 0.652, 0.731]]}

=====

Record 3
{"formula": "CeSnO", "functional": "PBE", "state": "optimized geometry", "energy_ev_per_atom": -6.610, "vol_a3_per_atom": 22.75, "magnetic_moment_mub_per_fu": 0.62, "cell": [[1.731, -6.186, 0.000], [1.731, 6.186, 0.000], [0.000, 0.000, 6.373]], "species": ["Ce", "Ce", "Sn", "Sn", "O", "O"], "frac_coords": [[0.000, 0.000, 0.000], [0.000, 0.000, 0.500], [0.254, 0.746, 0.750], [0.746, 0.254, 0.250], [0.493, 0.507, 0.250], [0.507, 0.493, 0.750]]}

=====

Record 4
{"formula": "Ce3SnO4", "functional": "PBE", "state": "optimized geometry", "energy_ev_per_atom": -8.107, "vol_a3_per_atom": 18.50, "magnetic_moment_mub_per_fu": 1.37, "cell": [[3.931, 0.000, 0.000], [0.000, 3.931, 0.000], [0.000, 0.000, 9.578]], "species": ["Ce", "Ce", "Ce", "Sn", "O", "O", "O", "O"], "frac_coords": [[0.000, 0.000, 0.000], [0.500, 0.500, 0.268], [0.500, 0.500, 0.732], [0.000, 0.000, 0.500], [0.000, 0.500, 0.147], [0.000, 0.500, 0.853], [0.500, 0.000, 0.147], [0.500, 0.000, 0.853]]}

=====

Repeat the third record exactly.
{"formula": "CeSnO", "functional": "PBE", "state": "optimized geometry", "energy_ev_per_atom": -6.610, "vol_a3_per_atom": 22.75, "magnetic_moment_mub_per_fu": 0.62, "cell": [[1.731, -6.186, 0.000], [1.731, 6.186, 0.000], [0.000, 0.000, 6.373]], "species": ["Ce", "Ce", "Sn", "Sn", "O", "O"], "frac_coords": [[0.000, 0.000, 0.000], [0.000, 0.000, 0.500], [0.254, 0.746, 0.750], [0.746, 0.254, 0.250], [0.493, 0.507, 0.250], [0.507, 0.493, 0.750]]}